DFT (PBE) results for a relaxed structure of Sm2Cu2O5.

Cell: 3.7433 5.7756 9.9051 Å, 90.00 90.00 90.00°
Last column: magnetic moment on the atom in μB.
Positions (direct):
1 Sm 0.5000 0.6367 0.6525  0.00
2 Sm 0.5000 0.3633 0.3475  0.00
3 Sm 0.5000 0.8633 0.1525  0.00
4 Sm 0.5000 0.1367 0.8475  0.00
5 O 0.0000 0.4013 0.7965  0.01
6 O 0.0000 0.0000 0.0000  0.01
7 O 0.0000 0.0987 0.2965  0.01
8 O 0.5000 0.7278 0.9004  0.01
9 O 0.0000 0.9013 0.7035  0.01
10 O 0.5000 0.2278 0.5996  0.01
11 O 0.0000 0.5000 0.5000  0.01
12 O 0.5000 0.7722 0.4004  0.01
13 O 0.0000 0.5987 0.2035  0.01
14 O 0.5000 0.2722 0.0996  0.01
15 Cu 0.0000 0.1824 0.5900  0.06
16 Cu 0.0000 0.8176 0.4100  0.06
17 Cu 0.0000 0.6824 0.9100  0.06
18 Cu 0.0000 0.3176 0.0900  0.06

Results
E   -6.7940 eV/atom
Energy relative to the lowest polymorph listed for this composition   52 meV per atom
Calculated volume   11.90 Å³ per atom
Symmetry   Pbam, No. 55
Crystal system   orthorhombic